1.
This record from the Alexandria database describes crystalline YNbC3 at its relaxed geometry. The functional is PBE-GGA.

* mass density: 4.782 g/cm3
* formation energy: 2587.6 meV/atom

abc: 4.2292 4.2292 4.2292
angles: 90.00 90.00 90.00
With the nearest neighbours (Å) after each atom.
Fractional positions:
Y  0.0000  0.0000  0.0000  6 C 2.11
Nb  0.5000  0.5000  0.5000  12 C 2.99
C  0.0000  0.5000  0.0000  2 Y 2.11
C  0.0000  0.0000  0.5000  2 Y 2.11
C  0.5000  0.0000  0.0000  2 Y 2.11


2.
This record from the Alexandria database describes crystalline NbGeBr2 at its relaxed geometry. The functional is PBE-GGA.

* mass density: 4.770 g/cm3

abc: 12.5551 12.5551 12.5551
angles: 14.85 14.85 14.85
With the nearest neighbours (Å) after each atom.
Fractional positions:
Nb  0.5000  0.5000  0.5000  6 Br 2.68
Ge  0.0000  0.0000  0.0000  6 Ge 3.25
Br  0.8848  0.8848  0.8848  3 Nb 2.68
Br  0.1152  0.1152  0.1152  3 Nb 2.68


no.,relative energy among the computed polymorphs (meV/atom),calculated total energy (eV/atom)
1,1700,-6.253
2,0,-4.623